Entry 1:
{
  "formula": "Tm2As2O5",
  "functional": "GGA-PBE",
  "state": "optimized geometry",
  "lattice": [[3.6934, 0.0000, 0.0000], [0.0000, 3.6934, 0.0000], [0.0000, 0.0000, 9.1191]],
  "species": ["Tm", "Tm", "As", "As", "O", "O", "O", "O", "O"],
  "fractional_positions": [[0.0000, 0.0000, 0.2450], [0.0000, 0.0000, 0.7550], [0.5000, 0.5000, 0.0000], [0.5000, 0.5000, 0.5000], [0.0000, 0.0000, 0.0000], [0.0000, 0.5000, 0.3626], [0.0000, 0.5000, 0.6374], [0.5000, 0.0000, 0.3626], [0.5000, 0.0000, 0.6374]],
  "relative_energy_mev_per_atom": 0.0,
  "vol_a3_per_atom": 13.8
}

Entry 2:
{
  "formula": "LuMgGaPt",
  "functional": "GGA-PBE",
  "state": "optimized geometry",
  "lattice": [[0.0000, 3.3021, 3.3021], [3.3021, 0.0000, 3.3021], [3.3021, 3.3021, 0.0000]],
  "species": ["Lu", "Mg", "Ga", "Pt"],
  "fractional_positions": [[0.0000, 0.0000, 0.0000], [0.2500, 0.2500, 0.2500], [0.5000, 0.5000, 0.5000], [0.7500, 0.7500, 0.7500]],
  "relative_energy_mev_per_atom": 116.3,
  "vol_a3_per_atom": 18.0
}

Entry 3:
{
  "formula": "Rb2PdI2Cl2",
  "functional": "GGA-PBE",
  "state": "optimized geometry",
  "lattice": [[4.8291, -5.9713, 0.0000], [4.8291, 5.9713, 0.0000], [0.0000, 0.0000, 4.6785]],
  "species": ["Rb", "Rb", "Pd", "I", "I", "Cl", "Cl"],
  "fractional_positions": [[0.0000, 0.5000, 0.0000], [0.5000, 0.0000, 0.0000], [0.0000, 0.0000, 0.5000], [0.2746, 0.2746, 0.5000], [0.7254, 0.7254, 0.5000], [0.1963, 0.8037, 0.5000], [0.8037, 0.1963, 0.5000]],
  "dft_energy_ev_per_atom": -3.154,
  "vol_a3_per_atom": 38.5
}